Entry 1:
Compound: Na2B3C
Source: Alexandria
Functional: PBE-GGA
Structure: optimized geometry

Computed properties:
uncorrected energy = -0.189 Ha/atom
Fermi-level density of states = 0.207 states/eV per atom
crystal system = orthorhombic
ΔH_f (0 K) = 16.30 kJ per mole of atoms
SG = Amm2 (38)
relative energy among the computed polymorphs = 36 meV per atom

Cell lengths 8.591, 13.065, 13.065 Å; angles 12.48, 90.00, 90.00 degrees
Fractional coordinates of all 30 atoms:
Na  0.246  0.000  0.000
Na  0.246  0.200  0.200
Na  0.248  0.601  0.601
Na  0.249  0.399  0.399
Na  0.249  0.799  0.799
Na  0.751  0.399  0.399
Na  0.751  0.799  0.799
Na  0.752  0.601  0.601
Na  0.754  0.000  0.000
Na  0.754  0.200  0.200
B  0.000  0.074  0.074
B  0.000  0.266  0.266
B  0.000  0.460  0.460
B  0.000  0.533  0.533
B  0.000  0.670  0.670
B  0.000  0.863  0.863
B  0.500  0.071  0.071
B  0.500  0.137  0.137
B  0.500  0.265  0.265
B  0.500  0.328  0.328
B  0.500  0.470  0.470
B  0.500  0.535  0.535
B  0.500  0.726  0.726
B  0.500  0.868  0.868
B  0.500  0.932  0.932
C  0.000  0.137  0.137
C  0.000  0.331  0.331
C  0.000  0.734  0.734
C  0.000  0.928  0.928
C  0.500  0.666  0.666


Entry 2:
Compound: Na2B3C
Source: Alexandria
Functional: PBE-GGA
Structure: optimized geometry

Computed properties:
uncorrected energy = -0.190 Ha/atom
Fermi-level density of states = 0.359 states/eV per atom
crystal system = monoclinic
ΔH_f (0 K) = 15.30 kJ per mole of atoms
SG = Cm (8)
relative energy among the computed polymorphs = 25 meV per atom

Cell lengths 9.075, 9.075, 13.489 Å; angles 112.63, 112.63, 18.04 degrees
Fractional coordinates of all 30 atoms:
Na  0.000  0.000  0.000
Na  0.000  0.000  0.498
Na  0.199  0.199  0.400
Na  0.199  0.199  0.900
Na  0.400  0.400  0.301
Na  0.401  0.401  0.798
Na  0.596  0.596  0.698
Na  0.601  0.601  0.200
Na  0.799  0.799  0.101
Na  0.800  0.800  0.597
B  0.029  0.029  0.309
B  0.030  0.030  0.811
B  0.163  0.163  0.078
B  0.225  0.225  0.699
B  0.233  0.233  0.216
B  0.366  0.366  0.483
B  0.371  0.371  0.994
B  0.438  0.438  0.126
B  0.567  0.567  0.386
B  0.570  0.570  0.890
B  0.634  0.634  0.518
B  0.767  0.767  0.783
B  0.773  0.773  0.296
B  0.830  0.830  0.911
B  0.961  0.961  0.671
C  0.165  0.165  0.580
C  0.430  0.430  0.609
C  0.632  0.632  0.015
C  0.835  0.835  0.420
C  0.968  0.968  0.186